No. 1
A relaxed structure of LiPrCdAu2. Source: Alexandria, functional GGA-PBE.

## Properties
energy of formation from the pure elements	-0.520	eV per atom
space group	No. 51
magnetic moment	0.000	μB/f.u.
uncorrected energy	-3.3521	eV/atom
D(E_F)	4.6	states/eV per cell

abc: 5.5999 6.8189 5.7940
angles: 90.00 90.00 90.00
Element x y z (fractional)
1 Li 0.0000 0.0000 0.0000
2 Li 0.5000 0.0000 0.0000
3 Pr 0.2500 0.5000 0.2482
4 Pr 0.7500 0.5000 0.7518
5 Cd 0.2500 0.0000 0.4120
6 Cd 0.7500 0.0000 0.5880
7 Au 0.2500 0.2880 0.7661
8 Au 0.2500 0.7120 0.7661
9 Au 0.7500 0.2880 0.2339
10 Au 0.7500 0.7120 0.2339

***

No. 2
A relaxed structure of Li2PrCdAu4. Source: Alexandria, functional GGA-PBE.

## Properties
energy of formation from the pure elements	-0.528	eV per atom
space group	No. 166
magnetic moment	0.000	μB/f.u.
uncorrected energy	-3.3565	eV/atom
D(E_F)	3.9	states/eV per cell

abc: 9.3540 9.3540 9.3540
angles: 28.41 28.41 28.41
Element x y z (fractional)
1 Li 0.2338 0.2338 0.2338
2 Li 0.7662 0.7662 0.7662
3 Pr 0.0000 0.0000 0.0000
4 Cd 0.5000 0.5000 0.5000
5 Au 0.1190 0.1190 0.1190
6 Au 0.3952 0.3952 0.3952
7 Au 0.6048 0.6048 0.6048
8 Au 0.8810 0.8810 0.8810